1.
The following is a PBE calculation of Rb2FeCoSe4 after structural relaxation, from Alexandria via LeMat-Bulk.

Values from the calculation:
Space group = Fddd (70)
Magnetic moment = 1.95 μB per cell
ΔE_f (raw) = -677.8 meV per atom

Cell: 5.5898 7.5465 12.4883 Å, 85.25 77.07 68.26°
Site moments in Bohr magnetons follow the coordinates.
Element x y z (fractional)
1 Se 0.1493 0.3115 0.3915  -0.03
2 Se 0.2908 0.8115 0.1085  -0.03
3 Se 0.5392 0.3115 0.6085  -0.03
4 Se 0.8523 0.6885 0.6085  -0.03
5 Se 0.8977 0.8115 0.8915  -0.03
6 Se 0.6007 0.1885 0.1085  -0.03
7 Se 0.2108 0.1885 0.8915  -0.03
8 Se 0.4592 0.6885 0.3915  -0.03
9 Co 0.2500 0.5000 0.5000  -1.74
10 Co 0.5000 0.0000 0.0000  -1.74
11 Rb 0.1800 0.0000 0.6401  0.00
12 Rb 0.5700 0.5000 0.8599  0.00
13 Rb 0.9300 0.5000 0.1401  0.00
14 Rb 0.8200 0.0000 0.3599  0.00
15 Fe 0.7500 0.5000 0.5000  2.81
16 Fe 0.0000 0.0000 0.0000  2.81

2.
The following is a PBE calculation of CuHgAu2 after structural relaxation, from Alexandria via LeMat-Bulk.

Values from the calculation:
Space group = C2/m (12)
Magnetic moment = 0.00 μB per cell
Calculated formation energy = 0.106 eV/atom

Cell: 6.5992 4.6577 3.4233 Å, 89.32 59.87 121.60°
Element x y z (fractional)
1 Cu 0.0000 0.5000 0.5000
2 Au 0.0000 0.0000 0.0000
3 Au 0.5000 0.0000 0.5000
4 Hg 0.5000 0.5000 0.0000

3.
The following is a PBE calculation of Rb2PmPd3F12 after structural relaxation, from Alexandria via LeMat-Bulk.

Values from the calculation:
Space group = R-3m (166)
Magnetic moment = 0.12 μB per cell
ΔE_f (raw) = -2158.6 meV per atom

Cell: 7.1612 7.1612 7.1612 Å, 70.84 70.84 70.84°
Element x y z (fractional)
1 F 0.2583 0.2583 0.9206
2 F 0.8742 0.8742 0.3682
3 F 0.7417 0.0794 0.7417
4 F 0.6318 0.1258 0.1258
5 F 0.9206 0.2583 0.2583
6 F 0.8742 0.3682 0.8742
7 F 0.3682 0.8742 0.8742
8 F 0.1258 0.1258 0.6318
9 F 0.0794 0.7417 0.7417
10 F 0.7417 0.7417 0.0794
11 F 0.2583 0.9206 0.2583
12 F 0.1258 0.6318 0.1258
13 Rb 0.6239 0.6239 0.6239
14 Rb 0.3761 0.3761 0.3761
15 Pd 0.0000 0.5000 0.0000
16 Pd 0.0000 0.0000 0.5000
17 Pd 0.5000 0.0000 0.0000
18 Pm 0.0000 0.0000 0.0000

4.
The following is a PBE calculation of Sc2ZnPd2 after structural relaxation, from Alexandria via LeMat-Bulk.

Values from the calculation:
Space group = Ibam (72)
Magnetic moment = 0.00 μB per cell
Calculated formation energy = -0.620 eV/atom

Cell: 5.1922 5.7953 7.1921 Å, 113.76 111.16 90.00°
Element x y z (fractional)
1 Zn 0.2500 0.5000 0.0000
2 Zn 0.7500 0.5000 0.0000
3 Sc 0.3261 0.1042 0.6522
4 Sc 0.1739 0.4521 0.3478
5 Sc 0.8261 0.5479 0.6522
6 Sc 0.6739 0.8958 0.3478
7 Pd 0.4004 0.7329 0.8008
8 Pd 0.9004 0.0679 0.8008
9 Pd 0.0996 0.9321 0.1992
10 Pd 0.5996 0.2671 0.1992

5.
The following is a PBE calculation of ErHf3Rh4 after structural relaxation, from Alexandria via LeMat-Bulk.

Values from the calculation:
Space group = P4/mmm (123)
Magnetic moment = 0.00 μB per cell
Calculated formation energy = -0.876 eV/atom

Cell: 4.6489 6.6458 9.2963 Å, 90.00 90.00 90.00°
Element x y z (fractional)
1 Rh 0.9999 0.2398 0.2500
2 Rh 0.5000 0.2399 0.5000
3 Rh 0.5000 0.7601 0.5000
4 Rh 0.0001 0.2398 0.7500
5 Rh 0.0001 0.7602 0.7500
6 Rh 0.9999 0.7602 0.2500
7 Rh 0.5000 0.7601 0.0000
8 Rh 0.5000 0.2399 0.0000
9 Er 0.0000 0.5000 0.5000
10 Er 0.0000 0.5000 0.0000
11 Hf 0.5000 0.0000 0.7500
12 Hf 0.5000 0.5000 0.2500
13 Hf 0.5000 0.0000 0.2500
14 Hf 0.5000 0.5000 0.7500
15 Hf 0.0000 0.0000 0.5000
16 Hf 0.0000 0.0000 0.0000

6.
The following is a PBE calculation of InAgSb after structural relaxation, from Alexandria via LeMat-Bulk.

Values from the calculation:
Space group = F-43m (216)
Magnetic moment = 0.00 μB per cell
ΔE_f (raw) = 43.0 meV per atom

Cell: 4.8081 4.8081 4.8081 Å, 60.00 60.00 60.00°
Element x y z (fractional)
1 In 0.0000 0.0000 0.0000
2 Sb 0.5000 0.5000 0.5000
3 Ag 0.7500 0.7500 0.7500

7.
The following is a PBE calculation of Tb3SmY2Bi6 after structural relaxation, from Alexandria via LeMat-Bulk.

Values from the calculation:
Space group = C2/m (12)
Magnetic moment = 0.00 μB per cell
Calculated formation energy = -0.893 eV/atom

Cell: 4.5006 9.0015 10.0617 Å, 102.87 102.92 90.00°
Element x y z (fractional)
1 Tb 0.8339 0.1673 0.6678
2 Tb 0.5000 0.5000 0.0000
3 Tb 0.1661 0.8327 0.3322
4 Y 0.8330 0.6666 0.6660
5 Y 0.1670 0.3334 0.3340
6 Bi 0.9995 0.7467 0.9991
7 Bi 0.6667 0.5828 0.3334
8 Bi 0.6679 0.0840 0.3359
9 Bi 0.0005 0.2533 0.0009
10 Bi 0.3321 0.9160 0.6641
11 Bi 0.3333 0.4172 0.6666
12 Sm 0.5000 0.0000 0.0000

8.
The following is a PBE calculation of Pm3HoZn4 after structural relaxation, from Alexandria via LeMat-Bulk.

Values from the calculation:
Space group = R-3m (166)
Magnetic moment = 0.00 μB per cell
Calculated formation energy = -0.321 eV/atom

Cell: 5.1263 5.1263 8.9211 Å, 73.30 73.30 60.00°
Element x y z (fractional)
1 Ho 0.0000 0.0000 0.0000
2 Zn 0.6264 0.6264 0.1209
3 Zn 0.8766 0.8766 0.3703
4 Zn 0.1234 0.1234 0.6297
5 Zn 0.3736 0.3736 0.8791
6 Pm 0.7487 0.7487 0.7538
7 Pm 0.5000 0.5000 0.5000
8 Pm 0.2513 0.2513 0.2462

9.
The following is a PBE calculation of Tl2OsRu after structural relaxation, from Alexandria via LeMat-Bulk.

Values from the calculation:
Space group = Cm (8)
Magnetic moment = 0.00 μB per cell
Calculated formation energy = 0.783 eV/atom

Cell: 5.5108 5.5108 5.0884 Å, 69.57 69.57 31.40°
Element x y z (fractional)
1 Tl 0.7714 0.7714 0.6808
2 Tl 0.9785 0.9785 0.0703
3 Ru 0.2195 0.2195 0.1992
4 Os 0.5307 0.5307 0.5498

10.
The following is a PBE calculation of NiMo2Ru after structural relaxation, from Alexandria via LeMat-Bulk.

Values from the calculation:
Space group = R-3m (166)
Magnetic moment = 0.00 μB per cell
Calculated formation energy = 0.152 eV/atom

Cell: 9.0841 9.0841 9.0841 Å, 17.21 17.21 17.21°
Element x y z (fractional)
1 Mo 0.5017 0.5017 0.5017
2 Mo 0.9983 0.9983 0.9983
3 Ni 0.2500 0.2500 0.2500
4 Ru 0.7500 0.7500 0.7500

11.
The following is a PBE calculation of La12Pm7Pr after structural relaxation, from Alexandria via LeMat-Bulk.

Values from the calculation:
Space group = R-3 (148)
Magnetic moment = 0.00 μB per cell
Calculated formation energy = 0.241 eV/atom

Cell: 7.0823 11.2133 11.2133 Å, 64.31 77.85 102.15°
Element x y z (fractional)
1 La 0.7305 0.4777 0.0696
2 La 0.8001 0.0696 0.4527
3 La 0.1999 0.9304 0.5473
4 La 0.2914 0.2175 0.2127
5 La 0.2695 0.5223 0.9304
6 La 0.9261 0.4302 0.7825
7 La 0.0739 0.5698 0.2175
8 La 0.5041 0.2127 0.5698
9 La 0.7086 0.7825 0.7873
10 La 0.4959 0.7873 0.4302
11 La 0.2529 0.4527 0.4777
12 La 0.7471 0.5473 0.5223
13 Pm 0.0784 0.8560 0.3066
14 Pm 0.6150 0.6934 0.1626
15 Pm 0.7775 0.1626 0.1440
16 Pm 0.2225 0.8374 0.8560
17 Pm 0.3850 0.3066 0.8374
18 Pm 0.5000 0.0000 0.0000
19 Pm 0.9216 0.1440 0.6934
20 Pr 0.0000 0.0000 0.0000

12.
The following is a PBE calculation of MnRe3Pb after structural relaxation, from Alexandria via LeMat-Bulk.

Values from the calculation:
Space group = Pm-3m (221)
Magnetic moment = 1.79 μB per cell
Calculated formation energy = 1.558 eV/atom

Cell: 4.5316 4.5316 4.5316 Å, 90.00 90.00 90.00°
Site moments in Bohr magnetons follow the coordinates.
Element x y z (fractional)
1 Re 0.5000 0.0000 0.0000  0.55
2 Re 0.0000 0.0000 0.5000  0.68
3 Re 0.0000 0.5000 0.0000  0.56
4 Pb 0.5000 0.5000 0.5000  0.02
5 Mn 0.0000 0.0000 0.0000  -0.22

Final energy for the records above, in order: -4.61 -2.63 -4.64 -5.48 -8.85 -3.19 -5.46 -3.31 -5.53 -9.03 -4.62 -8.49 eV per atom
N(E_F) for the records above, in order: 4.78 1.30 6.09 2.29 5.20 2.03 2.02 8.85 2.86 3.72 29.13 6.22 states/eV/f.u.